{"formula": "Cr2PbIO8", "functional": "PBE+U", "state": "relaxed", "lattice": [[4.7067, -0.0724, -0.0029], [-0.0369, 4.7039, -0.0050], [0.0043, 0.0068, 6.5562]], "species": ["O", "O", "O", "O", "O", "O", "O", "O", "Cr", "Cr", "I", "Pb"], "frac_coords": [[0.1981, 0.8004, 0.2298], [0.6923, 0.6937, 0.0000], [0.3215, 0.3202, 0.5000], [0.6785, 0.6798, 0.5000], [0.8019, 0.1996, 0.7702], [0.1981, 0.8005, 0.7702], [0.3077, 0.3063, 0.0000], [0.8019, 0.1995, 0.2298], [0.5000, 0.5000, 0.2479], [0.5000, 0.5000, 0.7521], [0.0000, 0.0000, 0.0000], [0.0000, 0.0000, 0.5000]], "final_energy_ev_per_atom": -6.03, "sg": "Cmmm"}